An optimized crystal structure of HfVReOs, computed with PBE.

The total magnetization is 0.0000 μB/atom. Its energy relative to the elements is -0.351 eV per atom.

Unit cell a=4.456 b=4.456 c=4.456 alpha=60.00 beta=60.00 gamma=60.00
Element x y z (fractional)
Re (0.500, 0.500, 0.500)
Hf (0.750, 0.750, 0.750)
Os (0.000, 0.000, 0.000)
V (0.250, 0.250, 0.250)

An optimized crystal structure of TaPd2Au, computed with PBE.

The total magnetization is 0.0000 μB/atom. Its energy relative to the elements is -0.296 eV per atom. The value obtained for the energy above the most stable polymorph in this dataset is 0.000 eV per atom.

Unit cell a=3.919 b=6.447 c=2.914 alpha=63.10 beta=90.00 gamma=90.00
Element x y z (fractional)
Ta (0.500, 0.750, 0.750)
Pd (0.000, 0.991, 0.009)
Pd (0.000, 0.509, 0.491)
Au (0.500, 0.250, 0.250)

An optimized crystal structure of Li2UCl6, computed with PBE.

The total magnetization is 0.2222 μB/atom. The value obtained for the energy above the most stable polymorph in this dataset is 0.052 eV per atom. Its formation energy from raw total energies is -1.698 eV/atom.

Unit cell a=4.889 b=7.378 c=7.305 alpha=73.44 beta=70.45 gamma=70.65
Last column: magnetic moment on the atom in μB.
Element x y z (fractional)
Li (0.199, 0.686, 0.917)  0.00
Li (0.801, 0.314, 0.083)  0.00
U (0.000, 0.500, 0.500)  2.07
Cl (0.749, 0.648, 0.855)  -0.01
Cl (0.251, 0.352, 0.145)  -0.01
Cl (0.981, 0.816, 0.221)  -0.03
Cl (0.372, 0.702, 0.554)  -0.02
Cl (0.019, 0.184, 0.779)  -0.03
Cl (0.628, 0.298, 0.446)  -0.02

An optimized crystal structure of Ag3Te2Au, computed with PBE.

The total magnetization is 0.0000 μB/atom. The value obtained for the energy above the most stable polymorph in this dataset is 0.008 eV per atom. Its formation energy from raw total energies is -0.049 eV/atom.

Unit cell a=5.209 b=9.357 c=8.359 alpha=50.60 beta=91.21 gamma=92.84
Element x y z (fractional)
Ag (0.573, 0.656, 0.280)
Ag (0.766, 0.037, 0.880)
Ag (0.206, 0.136, 0.319)
Ag (0.427, 0.344, 0.720)
Ag (0.794, 0.864, 0.681)
Ag (0.234, 0.963, 0.120)
Te (0.591, 0.273, 0.440)
Te (0.409, 0.727, 0.560)
Te (0.963, 0.313, 0.927)
Te (0.037, 0.687, 0.073)
Au (0.733, 0.993, 0.259)
Au (0.267, 0.007, 0.741)

An optimized crystal structure of CeMgCuSe3, computed with PBE.

The total magnetization is 0.1666 μB/atom. Its formation energy from raw total energies is -1.209 eV/atom.

Unit cell a=3.964 b=8.044 c=8.769 alpha=102.63 beta=90.00 gamma=90.00
Last column: magnetic moment on the atom in μB.
Element x y z (fractional)
Ce (0.250, 0.184, 0.244)  0.96
Ce (0.750, 0.816, 0.756)  0.96
Mg (0.250, 0.661, 0.155)  0.00
Mg (0.750, 0.339, 0.845)  0.00
Cu (0.250, 0.076, 0.580)  -0.01
Cu (0.750, 0.924, 0.420)  -0.01
Se (0.750, 0.900, 0.135)  -0.02
Se (0.250, 0.100, 0.865)  -0.02
Se (0.250, 0.757, 0.481)  -0.01
Se (0.750, 0.243, 0.519)  -0.01
Se (0.750, 0.427, 0.159)  -0.01
Se (0.250, 0.573, 0.841)  -0.01

An optimized crystal structure of SrEuSiAg, computed with PBE.

The total magnetization is 1.7142 μB/atom. Its formation energy from raw total energies is -0.310 eV/atom.

Unit cell a=5.354 b=5.354 c=5.354 alpha=60.00 beta=60.00 gamma=60.00
Last column: magnetic moment on the atom in μB.
Element x y z (fractional)
Eu (0.000, 0.000, 0.000)  6.78
Sr (0.500, 0.500, 0.500)  -0.01
Si (0.250, 0.250, 0.250)  -0.04
Ag (0.750, 0.750, 0.750)  0.00

An optimized crystal structure of Hg3I, computed with PBE.

The total magnetization is 0.0000 μB/atom. The value obtained for the energy above the most stable polymorph in this dataset is 0.000 eV per atom. Its formation energy from raw total energies is -0.103 eV/atom.

Unit cell a=6.733 b=6.817 c=7.754 alpha=92.74 beta=106.48 gamma=119.10
Element x y z (fractional)
Hg (0.014, 0.764, 0.483)
Hg (0.986, 0.236, 0.517)
Hg (0.154, 0.926, 0.047)
Hg (0.846, 0.074, 0.953)
Hg (0.495, 0.270, 0.423)
Hg (0.505, 0.730, 0.577)
I (0.387, 0.679, 0.083)
I (0.613, 0.321, 0.917)

An optimized crystal structure of TaTlIn, computed with PBE.

The total magnetization is 0.0000 μB/atom. Its energy relative to the elements is 0.432 eV per atom. The value obtained for the energy above the most stable polymorph in this dataset is 0.000 eV per atom.

Unit cell a=3.177 b=3.177 c=7.653 alpha=90.00 beta=90.00 gamma=120.00
Element x y z (fractional)
In (0.000, 0.000, 0.016)
Ta (0.667, 0.333, 0.328)
Tl (0.333, 0.667, 0.656)

An optimized crystal structure of Nd3YTl4Se8, computed with PBE.

The total magnetization is 0.0000 μB/atom. Its formation energy from raw total energies is -1.381 eV/atom.

Unit cell a=8.586 b=9.209 c=8.587 alpha=117.82 beta=120.00 gamma=90.00
Element x y z (fractional)
Nd (0.500, 0.500, 0.000)
Nd (0.500, 0.500, 0.500)
Nd (0.000, 0.500, 0.500)
Y (0.000, 0.500, 0.000)
Tl (0.500, 0.000, 0.000)
Tl (0.500, 0.000, 0.500)
Tl (0.000, 0.000, 0.000)
Tl (0.000, 0.000, 0.500)
Se (0.233, 0.709, 0.976)
Se (0.233, 0.709, 0.466)
Se (0.263, 0.288, 0.525)
Se (0.743, 0.709, 0.976)
Se (0.257, 0.291, 0.024)
Se (0.737, 0.712, 0.475)
Se (0.767, 0.291, 0.534)
Se (0.767, 0.291, 0.024)

An optimized crystal structure of CeSbIr, computed with PBE.

The total magnetization is 0.0000 μB/atom. Its formation energy from raw total energies is -0.464 eV/atom.

Unit cell a=3.446 b=3.446 c=6.104 alpha=106.40 beta=106.40 gamma=90.00
Element x y z (fractional)
Sb (0.922, 0.922, 0.844)
Ir (0.293, 0.293, 0.586)
Ce (0.635, 0.635, 0.269)

An optimized crystal structure of CeHoMgIr, computed with PBE.

The total magnetization is 0.1333 μB/atom. Its energy relative to the elements is -0.346 eV per atom.

Unit cell a=5.056 b=5.056 c=5.056 alpha=60.00 beta=60.00 gamma=60.00
Last column: magnetic moment on the atom in μB.
Element x y z (fractional)
Mg (0.000, 0.000, 0.000)  0.00
Ir (0.500, 0.500, 0.500)  -0.02
Ho (0.250, 0.250, 0.250)  0.02
Ce (0.750, 0.750, 0.750)  0.47

An optimized crystal structure of La3Ir, computed with PBE.

The total magnetization is 0.0000 μB/atom. Its energy relative to the elements is -0.367 eV per atom.

Unit cell a=6.552 b=6.552 c=6.552 alpha=145.77 beta=128.06 gamma=63.69
Element x y z (fractional)
Ir (0.500, 0.000, 0.500)
La (0.310, 0.310, 0.000)
La (0.690, 0.690, 0.000)
La (0.000, 0.500, 0.500)

An optimized crystal structure of LaY2TlIr, computed with PBE.

The total magnetization is 0.0000 μB/atom. Its energy relative to the elements is -0.379 eV per atom. The value obtained for the energy above the most stable polymorph in this dataset is 0.000 eV per atom.

Unit cell a=5.452 b=5.452 c=5.476 alpha=90.00 beta=90.00 gamma=90.00
Element x y z (fractional)
Y (0.000, 0.500, 0.000)
Y (0.500, 0.000, 0.000)
Tl (0.500, 0.500, 0.500)
Ir (0.000, 0.000, 0.000)
La (0.000, 0.000, 0.500)